(1)
Hg3OsBr after structural relaxation, computed with PBE.

The structure in extended XYZ format:
```
5
Lattice="5.844 0.000 0.000 0.000 5.844 0.000 0.000 0.000 5.844" Properties=species:S:1:pos:R:3 pbc="T T T"
Hg 0.000 0.000 2.922
Hg 0.000 2.922 0.000
Hg 2.922 0.000 0.000
Os 2.922 2.922 2.922
Br 0.000 0.000 0.000
```

Values from the calculation:
The calculation puts the relative energy among the computed polymorphs at 1051.2 meV/atom. As for the energy relative to the elements, uncorrected: 8.5 eV per formula unit. The space group is No. 221. The value obtained for the total magnetic moment is 3.71 Bohr magnetons per cell.

---

(2)
Ta3MoP after structural relaxation, computed with PBE.

The structure in extended XYZ format:
```
20
Lattice="7.425 0.000 0.000 0.000 5.206 0.000 -2.694 0.000 8.499" Properties=species:S:1:pos:R:3 pbc="T T T"
Ta -0.453 0.040 1.455
Ta -1.800 2.563 5.704
Ta 1.305 2.635 0.400
Ta -0.042 5.174 4.650
Ta 0.564 1.215 7.173
Ta 1.911 1.388 2.924
Ta 2.820 3.818 5.575
Ta 4.167 3.991 1.326
Ta 4.773 0.032 3.849
Ta 3.426 2.571 8.099
Ta 6.532 2.643 2.795
Ta 5.185 5.167 7.044
Mo 0.486 3.788 7.207
Mo 1.833 4.022 2.958
Mo 2.898 1.185 5.541
Mo 4.245 1.418 1.292
P 1.971 0.029 0.637
P 0.624 2.574 4.886
P 4.108 2.633 3.613
P 2.761 5.177 7.862
```

Values from the calculation:
The calculation puts the relative energy among the computed polymorphs at 0.0 meV/atom. The space group is No. 14. For the formation energy from the elements, the calculation gives -1.80 eV per formula unit. The value obtained for the total magnetic moment is 0.00 Bohr magnetons per cell.

---

(3)
PrCdSnPb after structural relaxation, computed with PBE.

The structure in extended XYZ format:
```
4
Lattice="0.000 3.878 3.878 3.878 0.000 3.878 3.878 3.878 0.000" Properties=species:S:1:pos:R:3 pbc="T T T"
Pr 0.000 0.000 0.000
Cd 1.939 1.939 1.939
Sn 5.817 5.817 5.817
Pb 3.878 3.878 3.878
```

Values from the calculation:
The calculation puts the relative energy among the computed polymorphs at 202.6 meV/atom. The space group is No. 216. For the formation energy from the elements, the calculation gives -0.98 eV per formula unit. The value obtained for the total magnetic moment is 0.00 Bohr magnetons per cell.

---

(4)
KH3Au after structural relaxation, computed with PBE.

The structure in extended XYZ format:
```
10
Lattice="5.194 -3.763 0.000 5.194 3.763 0.000 -2.488 0.000 4.434" Properties=species:S:1:pos:R:3 pbc="T T T"
K 1.948 0.000 1.092
K 5.953 0.000 3.342
H 3.409 2.266 3.153
H 4.492 2.266 1.281
H 3.231 1.587 3.468
H 4.670 1.587 0.965
H 1.253 -0.972 3.618
H 6.648 -0.972 0.815
Au 5.194 -1.064 0.000
Au 3.951 -2.651 2.217
```

Values from the calculation:
The calculation puts the relative energy among the computed polymorphs at 0.2 meV/atom. The space group is No. 5. The value obtained for the total magnetic moment is 0.00 Bohr magnetons per cell.

---

(5)
Cd4AsPBr2 after structural relaxation, computed with PBE.

The structure in extended XYZ format:
```
16
Lattice="-3.974 4.087 6.247 3.974 -4.087 6.247 3.974 4.087 -6.247" Properties=species:S:1:pos:R:3 pbc="T T T"
Cd 0.000 0.155 2.673
Cd 1.752 2.044 0.322
Cd 2.222 -2.044 6.569
Cd 3.974 0.155 3.575
Cd 0.000 3.932 2.673
Cd 1.752 6.131 -0.322
Cd 2.222 2.044 5.926
Cd 3.974 3.932 3.575
As -1.987 2.044 3.124
As 1.987 2.044 3.124
P 0.000 0.000 0.000
P 0.000 4.087 0.000
Br 1.987 2.044 -3.124
Br 1.987 -2.044 3.124
Br 3.974 0.000 0.000
Br 0.000 0.000 6.247
```

Values from the calculation:
As for the energy relative to the elements, uncorrected: -2.0 eV per formula unit. The space group is No. 74. The value obtained for the total magnetic moment is 0.00 Bohr magnetons per cell.

---

(6)
Mn2VFe after structural relaxation, computed with PBE.

The structure in extended XYZ format:
```
4
Lattice="0.000 2.848 2.848 2.848 0.000 2.848 2.848 2.848 0.000" Properties=species:S:1:pos:R:3 pbc="T T T"
Mn 1.424 1.424 1.424
Mn 4.271 4.271 4.271
V 0.000 0.000 0.000
Fe 2.848 2.848 2.848
```

Values from the calculation:
The calculation puts the relative energy among the computed polymorphs at 0.0 meV/atom. The space group is No. 225. For the formation energy from the elements, the calculation gives -0.14 eV per formula unit. The value obtained for the total magnetic moment is 3.57 Bohr magnetons per cell.